[1]
The following is a GGA-PBE calculation of an optimized crystal structure of Na2SrHf3O8, from Alexandria.

Total moment   0.0000 μB/atom
Final energy   -8.30 eV/atom

a b c (Å): 6.5160 6.5160 6.8003
angles (deg): 61.37 61.37 60.00
Fractional coordinates of all 14 atoms:
O1 0.7489 0.7489 0.1912
O2 0.2474 0.6934 0.8117
O3 0.6934 0.2474 0.8117
O4 0.2673 0.2673 0.1980
O5 0.7318 0.7318 0.8045
O6 0.2474 0.2474 0.8117
O7 0.7489 0.3109 0.1912
O8 0.3109 0.7489 0.1912
Hf1 0.4991 0.0040 0.9978
Hf2 0.0040 0.4991 0.9978
Hf3 0.4991 0.4991 0.9978
Na1 0.1177 0.1177 0.6468
Na2 0.4998 0.4998 0.5007
Sr1 0.8768 0.8768 0.3696

---

[2]
The following is a GGA-PBE calculation of an optimized crystal structure of NaHf2TaO8, from Alexandria.

Total moment   0.1697 μB/atom
Final energy   -8.67 eV/atom

a b c (Å): 4.8968 4.8962 6.6077
angles (deg): 90.00 89.99 89.09
Last column: magnetic moment on the atom in μB.
Fractional coordinates of all 12 atoms:
Hf1 0.5000 0.5000 0.2600  -0.04
Hf2 0.5000 0.5000 0.7400  -0.04
O1 0.7056 0.7056 0.0000  0.28
O2 0.7957 0.2044 0.7892  0.22
O3 0.2043 0.7956 0.2108  0.22
O4 0.7957 0.2043 0.2108  0.22
O5 0.2043 0.7957 0.7892  0.22
O6 0.2944 0.2944 0.0000  0.28
O7 0.6801 0.6803 0.5000  0.20
O8 0.3199 0.3197 0.5000  0.20
Ta1 0.0000 0.0000 0.0000  -0.07
Na1 0.0000 0.0000 0.5000  0.00

---

[3]
The following is a GGA-PBE calculation of an optimized crystal structure of Na3HfTa2O9, from Alexandria.

Total moment   0.0046 μB/atom
Final energy   -8.08 eV/atom

a b c (Å): 5.6992 5.6992 6.9873
angles (deg): 90.00 90.00 120.00
Fractional coordinates of all 15 atoms:
Hf1 0.0000 0.0000 0.5000
O1 0.5000 0.0000 0.0000
O2 0.8303 0.6607 0.6726
O3 0.1697 0.3393 0.3274
O4 0.3393 0.1697 0.6726
O5 0.8303 0.1697 0.6726
O6 0.0000 0.5000 0.0000
O7 0.1697 0.8303 0.3274
O8 0.6607 0.8303 0.3274
O9 0.5000 0.5000 0.0000
Ta1 0.6667 0.3333 0.8321
Ta2 0.3333 0.6667 0.1679
Na1 0.0000 0.0000 0.0000
Na2 0.3333 0.6667 0.6710
Na3 0.6667 0.3333 0.3290

---

[4]
The following is a GGA-PBE calculation of an optimized crystal structure of NaHfTaO2, from Alexandria.

Total moment   0.2216 μB/atom
Final energy   -7.10 eV/atom

a b c (Å): 4.0160 5.9851 4.0160
angles (deg): 90.00 90.00 90.00
Last column: magnetic moment on the atom in μB.
Fractional coordinates of all 5 atoms:
Hf1 0.0000 0.5000 0.0000  0.49
O1 0.0000 0.0000 0.5000  0.01
O2 0.5000 0.0000 0.0000  0.00
Ta1 0.0000 0.0000 0.0000  0.10
Na1 0.5000 0.5000 0.5000  0.04

---

[5]
The following is a GGA-PBE calculation of an optimized crystal structure of NaHfTaO6, from Alexandria.

Total moment   0.2222 μB/atom
Final energy   -8.24 eV/atom

a b c (Å): 4.6634 5.4703 5.4703
angles (deg): 120.00 90.00 90.00
Last column: magnetic moment on the atom in μB.
Fractional coordinates of all 9 atoms:
Ta1 0.5000 0.0000 0.0000  -0.09
O1 0.2598 0.0630 0.7360  0.30
O2 0.2598 0.2640 0.3270  0.30
O3 0.7402 0.2640 0.9370  0.30
O4 0.7402 0.6730 0.7360  0.30
O5 0.2598 0.6730 0.9370  0.30
O6 0.7402 0.0630 0.3270  0.30
Na1 0.5000 0.6667 0.3333  0.00
Hf1 0.0000 0.3333 0.6667  -0.05

---

[6]
The following is a GGA-PBE calculation of an optimized crystal structure of NaHfTc2O8, from Alexandria.

Total moment   0.2461 μB/atom
Final energy   -7.83 eV/atom

a b c (Å): 5.8182 5.8182 6.7013
angles (deg): 90.00 90.00 120.00
Last column: magnetic moment on the atom in μB.
Fractional coordinates of all 12 atoms:
O1 0.8378 0.1622 0.3109  0.06
O2 0.3333 0.6667 0.0423  0.10
O3 0.6756 0.8378 0.6891  0.06
O4 0.8378 0.6756 0.3109  0.06
O5 0.3244 0.1622 0.3109  0.06
O6 0.6667 0.3333 0.9577  0.10
O7 0.1622 0.3244 0.6891  0.06
O8 0.1622 0.8378 0.6891  0.06
Hf1 0.0000 0.0000 0.5000  0.13
Na1 0.0000 0.0000 0.0000  0.00
Tc1 0.3333 0.6667 0.7827  0.95
Tc2 0.6667 0.3333 0.2173  0.95

---

[7]
The following is a GGA-PBE calculation of an optimized crystal structure of NaHfTcO6, from Alexandria.

Total moment   0.0000 μB/atom
Final energy   -7.73 eV/atom

a b c (Å): 5.3295 5.3294 5.1403
angles (deg): 90.00 90.00 60.00
Fractional coordinates of all 9 atoms:
Hf1 0.6666 0.6667 0.4589
O1 0.0180 0.6095 0.7106
O2 0.6107 0.0303 0.2899
O3 0.3724 0.0181 0.7106
O4 0.6094 0.3725 0.7106
O5 0.0303 0.3589 0.2899
O6 0.3589 0.6108 0.2899
Na1 0.0000 0.0000 0.0125
Tc1 0.3333 0.3333 0.5271

---

[8]
The following is a GGA-PBE calculation of an optimized crystal structure of Na2HfTcO6, from Alexandria.

Total moment   0.0783 μB/atom
Final energy   -7.38 eV/atom

a b c (Å): 4.0569 5.6199 5.6199
angles (deg): 90.00 90.00 90.00
Last column: magnetic moment on the atom in μB.
Fractional coordinates of all 10 atoms:
O1 0.6568 0.2382 0.7618  0.03
O2 0.1619 0.0000 0.0000  0.02
O3 0.6568 0.2382 0.2382  0.03
O4 0.6568 0.7618 0.7618  0.03
O5 0.6568 0.7618 0.2382  0.03
O6 0.1559 0.5000 0.5000  0.00
Na1 0.1187 0.5000 0.0000  0.00
Na2 0.1187 0.0000 0.5000  0.00
Tc1 0.6092 0.0000 0.0000  0.51
Hf1 0.6552 0.5000 0.5000  0.03

---

[9]
The following is a GGA-PBE calculation of an optimized crystal structure of NaHf2TcO8, from Alexandria.

Total moment   0.0000 μB/atom
Final energy   -8.30 eV/atom

a b c (Å): 4.8312 4.8242 6.4903
angles (deg): 90.00 90.00 89.37
Fractional coordinates of all 12 atoms:
Na1 0.0000 0.0000 0.5000
Tc1 0.0000 0.0000 0.0000
O1 0.6824 0.6839 0.5000
O2 0.1951 0.8034 0.7977
O3 0.2904 0.2890 0.0000
O4 0.7096 0.7110 0.0000
O5 0.8049 0.1966 0.7977
O6 0.3176 0.3161 0.5000
O7 0.1951 0.8034 0.2023
O8 0.8049 0.1966 0.2023
Hf1 0.5000 0.5000 0.2603
Hf2 0.5000 0.5000 0.7397

---

[10]
The following is a GGA-PBE calculation of an optimized crystal structure of NaHfTe2O8, from Alexandria.

Total moment   0.0000 μB/atom
Final energy   -6.25 eV/atom

a b c (Å): 6.0646 6.0646 6.0646
angles (deg): 107.17 107.17 114.18
Fractional coordinates of all 12 atoms:
O1 0.3206 0.5325 0.2120
O2 0.7334 0.0511 0.6823
O3 0.8914 0.6794 0.2120
O4 0.9489 0.6312 0.6823
O5 0.3688 0.0511 0.3177
O6 0.4675 0.6794 0.7880
O7 0.9489 0.2666 0.3177
O8 0.3206 0.1086 0.7880
Hf1 0.2500 0.7500 0.5000
Te1 0.7500 0.2500 0.5000
Te2 0.5000 0.5000 0.0000
Na1 0.0000 0.0000 0.0000

---

[11]
The following is a GGA-PBE calculation of an optimized crystal structure of NaHf2TeO8, from Alexandria.

Total moment   0.0569 μB/atom
Final energy   -7.54 eV/atom

a b c (Å): 4.8313 4.8290 6.5961
angles (deg): 90.00 90.00 88.51
Last column: magnetic moment on the atom in μB.
Fractional coordinates of all 12 atoms:
O1 0.1979 0.8013 0.2102  0.05
O2 0.3208 0.3195 0.5000  0.11
O3 0.2881 0.2873 0.0000  0.09
O4 0.7119 0.7127 0.0000  0.09
O5 0.1978 0.8013 0.7898  0.05
O6 0.8021 0.1987 0.7898  0.05
O7 0.8022 0.1987 0.2102  0.05
O8 0.6792 0.6805 0.5000  0.11
Hf1 0.5000 0.5000 0.2612  -0.01
Hf2 0.5000 0.5000 0.7388  -0.01
Na1 0.0000 0.0000 0.5000  0.00
Te1 0.0000 0.0000 0.0000  -0.01

---

[12]
The following is a GGA-PBE calculation of an optimized crystal structure of NaHfTiO2, from Alexandria.

Total moment   0.0000 μB/atom
Final energy   -6.29 eV/atom

a b c (Å): 3.9156 5.3180 3.9156
angles (deg): 90.00 90.00 90.00
Fractional coordinates of all 5 atoms:
Hf1 0.5000 0.5000 0.5000
Ti1 0.0000 0.0000 0.0000
O1 0.5000 0.0000 0.0000
O2 0.0000 0.0000 0.5000
Na1 0.0000 0.5000 0.0000

---

[13]
The following is a GGA-PBE calculation of an optimized crystal structure of NaHfTl2O6, from Alexandria.

Total moment   0.1058 μB/atom
Final energy   -6.08 eV/atom

a b c (Å): 5.7144 5.7141 6.0956
angles (deg): 62.04 62.04 60.00
Last column: magnetic moment on the atom in μB.
Fractional coordinates of all 10 atoms:
O1 0.1480 0.3933 0.7688  0.23
O2 0.3933 0.6900 0.7688  0.23
O3 0.2297 0.9446 0.2363  0.07
O4 0.5894 0.2296 0.2363  0.07
O5 0.6899 0.1480 0.7688  0.23
O6 0.9447 0.5894 0.2362  0.07
Hf1 0.3131 0.3131 0.0607  -0.03
Na1 0.8064 0.8064 0.5809  0.00
Tl1 0.0198 0.0198 0.9407  0.01
Tl2 0.5274 0.5274 0.4177  0.00